Record 1
Tm6MgSc | PBE-GGA | optimized geometry

## Properties
energy of formation = 0.153 eV/atom
crystal system = triclinic
offset from the most stable computed form = 0.97 eV/f.u.
total moment = 0.21 μB/cell

abc: 8.3668 9.1385 6.1924
angles: 42.41 47.49 56.84
With the nearest neighbours (Å) after each atom.
Sites, in units of the cell vectors:
Tm 0.2480 0.0431 0.2106  4 Tm 3.12-3.39, 1 Sc 3.35, 1 Mg 3.39
Tm 0.7520 0.9569 0.7894  4 Tm 3.12-3.39, 1 Sc 3.35, 1 Mg 3.39
Tm 0.0436 0.5018 0.2067  4 Tm 3.12-3.39, 1 Sc 3.34, 1 Mg 3.38
Tm 0.4982 0.2478 0.2973  4 Tm 3.12-3.39, 1 Sc 3.35, 1 Mg 3.38
Tm 0.9564 0.4982 0.7933  4 Tm 3.12-3.39, 1 Sc 3.34, 1 Mg 3.38
Tm 0.5018 0.7522 0.7027  4 Tm 3.12-3.39, 1 Sc 3.35, 1 Mg 3.38
Mg 0.0000 0.0000 0.0000  12 Tm 3.38-3.57
Sc 0.5000 0.5000 0.5000  12 Tm 3.34-3.59

***

Record 2
Tm2MgSc6 | PBE-GGA | optimized geometry

## Properties
energy of formation = 0.363 eV/atom
crystal system = orthorhombic
offset from the most stable computed form = 2.59 eV/f.u.
total moment = 0.04 μB/cell

abc: 5.3595 5.9403 8.7625
angles: 109.81 107.81 90.00
With the nearest neighbours (Å) after each atom.
Sites, in units of the cell vectors:
Tm 0.3937 0.8937 0.7875  1 Tm 3.31, 10 Sc 3.38-3.46, 2 Mg 3.40
Tm 0.6063 0.1063 0.2125  1 Tm 3.31, 10 Sc 3.38-3.46, 2 Mg 3.40
Sc 0.0000 0.7580 0.0000  4 Sc 2.88-3.09, 2 Mg 3.09
Sc 0.1983 0.9463 0.3966  5 Sc 2.95-3.13
Sc 0.1983 0.4503 0.3966  5 Sc 2.95-3.13
Sc 0.0000 0.2420 0.0000  4 Sc 2.88-3.09, 2 Mg 3.09
Sc 0.8017 0.5497 0.6034  5 Sc 2.95-3.13
Sc 0.8017 0.0537 0.6034  5 Sc 2.95-3.13
Mg 0.5000 0.5000 0.0000  4 Sc 3.09, 4 Tm 3.40

***

Record 3
TmMg3Sc6 | PBE-GGA | optimized geometry

## Properties
energy of formation = 0.205 eV/atom
crystal system = trigonal
total moment = 0.00 μB/cell

abc: 6.1085 6.1085 7.9822
angles: 90.00 90.00 120.00
With the nearest neighbours (Å) after each atom.
Sites, in units of the cell vectors:
Sc 0.4333 0.4333 0.1876  1 Tm 3.04, 2 Mg 3.08, 5 Sc 3.10-3.13
Sc 0.0000 0.5667 0.1876  1 Tm 3.04, 2 Mg 3.08, 5 Sc 3.10-3.13
Sc 0.0000 0.4333 0.8124  1 Tm 3.04, 2 Mg 3.08, 5 Sc 3.10-3.13
Sc 0.5667 0.0000 0.1876  1 Tm 3.04, 2 Mg 3.08, 5 Sc 3.10-3.13
Sc 0.4333 0.0000 0.8124  1 Tm 3.04, 2 Mg 3.08, 5 Sc 3.10-3.13
Sc 0.5667 0.5667 0.8124  1 Tm 3.04, 2 Mg 3.08, 5 Sc 3.10-3.13
Mg 0.6667 0.3333 0.5000  6 Sc 3.08
Mg 0.0000 0.0000 0.5000  6 Mg 3.53, 6 Sc 3.64
Mg 0.3333 0.6667 0.5000  6 Sc 3.08
Tm 0.0000 0.0000 0.0000  6 Sc 3.04

***

Record 4
TmMgSc | PBE-GGA | optimized geometry

## Properties
energy of formation = -0.012 eV/atom
crystal system = tetragonal
offset from the most stable computed form = 0.02 eV/f.u.
total moment = 0.00 μB/cell

abc: 3.3450 3.3472 13.8542
angles: 90.00 90.00 90.00
With the nearest neighbours (Å) after each atom.
Sites, in units of the cell vectors:
Sc 0.8730 0.2910 0.8372  8 Sc 3.26-3.35, 4 Tm 3.36
Sc 0.3730 0.7911 0.6751  8 Sc 3.26-3.35, 4 Tm 3.36
Mg 0.8717 0.2911 0.1814  8 Mg 3.14-3.35, 4 Tm 3.36
Mg 0.3717 0.7911 0.3307  8 Mg 3.14-3.35, 4 Tm 3.36-3.37
Tm 0.3726 0.7912 0.0092  4 Tm 3.35, 4 Sc 3.36, 4 Mg 3.36
Tm 0.8726 0.2912 0.5032  4 Tm 3.35, 4 Sc 3.36, 4 Mg 3.36-3.37

***

Record 5
TmMgSc | PBE-GGA | optimized geometry

## Properties
energy of formation = 0.076 eV/atom
crystal system = triclinic
offset from the most stable computed form = 0.28 eV/f.u.
total moment = 0.00 μB/cell

abc: 5.0771 3.2336 9.7357
angles: 100.21 90.00 90.00
With the nearest neighbours (Å) after each atom.
Sites, in units of the cell vectors:
Tm 0.3474 0.0403 0.4991  4 Tm 3.04-3.23, 1 Mg 3.19, 4 Sc 3.33-3.34
Tm 0.8474 0.9437 0.3243  4 Tm 3.04-3.23, 1 Mg 3.19, 4 Sc 3.33-3.34
Sc 0.8473 0.6196 0.6494  2 Sc 3.23, 5 Mg 3.28-3.49, 6 Tm 3.33-3.51
Sc 0.3473 0.3665 0.1741  2 Sc 3.23, 5 Mg 3.28-3.51, 6 Tm 3.33-3.51
Mg 0.8458 0.7820 0.9914  1 Tm 3.19, 6 Mg 3.23-3.41, 5 Sc 3.28-3.51
Mg 0.3459 0.2174 0.8323  1 Tm 3.19, 6 Mg 3.23-3.41, 5 Sc 3.28-3.49

***

Record 6
Tm3Mg2Sc | PBE-GGA | optimized geometry

## Properties
energy of formation = -0.022 eV/atom
crystal system = tetragonal
total moment = 0.00 μB/cell

abc: 3.4980 3.4980 13.2302
angles: 90.00 90.00 90.00
With the nearest neighbours (Å) after each atom.
Sites, in units of the cell vectors:
Mg 0.5000 0.5000 0.1645  8 Tm 3.29-3.33, 4 Mg 3.50
Mg 0.5000 0.5000 0.8355  8 Tm 3.29-3.33, 4 Mg 3.50
Tm 0.0000 0.0000 0.3325  4 Sc 3.32, 4 Mg 3.33, 4 Tm 3.50
Tm 0.0000 0.0000 0.0000  8 Mg 3.29, 4 Tm 3.50
Tm 0.0000 0.0000 0.6675  4 Sc 3.32, 4 Mg 3.33, 4 Tm 3.50
Sc 0.5000 0.5000 0.5000  8 Tm 3.32, 4 Sc 3.50

***

Record 7
Tm5MgSc5 | PBE-GGA | optimized geometry

## Properties
energy of formation = 0.266 eV/atom
crystal system = hexagonal
total moment = 3.94 μB/cell

abc: 5.7738 5.7738 10.8169
angles: 90.00 90.00 120.00
With the nearest neighbours (Å) after each atom.
Sites, in units of the cell vectors:
Sc 0.0000 0.0000 0.7301  1 Tm 2.92, 3 Sc 2.99
Sc 0.3328 0.1664 0.5000  6 Sc 2.88-2.99
Sc 0.8336 0.6672 0.5000  6 Sc 2.88-2.99
Sc 0.0000 0.0000 0.2699  1 Tm 2.92, 3 Sc 2.99
Sc 0.8336 0.1664 0.5000  6 Sc 2.88-2.99
Tm 0.3333 0.6667 0.6902  1 Mg 3.35, 9 Sc 3.36-3.54, 3 Tm 3.64
Tm 0.0000 0.0000 0.0000  2 Sc 2.92
Tm 0.6667 0.3333 0.1739  6 Sc 3.49-3.90, 7 Tm 3.64-3.83, 3 Mg 3.83
Tm 0.6667 0.3333 0.8261  6 Sc 3.49-3.90, 7 Tm 3.64-3.83, 3 Mg 3.83
Tm 0.3333 0.6667 0.3098  1 Mg 3.35, 9 Sc 3.36-3.54, 3 Tm 3.64
Mg 0.3333 0.6667 0.0000  5 Tm 3.33-3.35

***

Record 8
TmMgSc5 | PBE-GGA | optimized geometry

## Properties
energy of formation = 0.220 eV/atom
crystal system = tetragonal
offset from the most stable computed form = 0.50 eV/f.u.
total moment = 0.00 μB/cell

abc: 4.6612 4.6612 8.6818
angles: 90.00 90.00 90.00
With the nearest neighbours (Å) after each atom.
Sites, in units of the cell vectors:
Sc 0.5000 0.0000 0.2345  2 Mg 3.09, 2 Tm 3.28, 6 Sc 3.28-3.30
Sc 0.0000 0.5000 0.7655  2 Mg 3.09, 6 Sc 3.28-3.30, 2 Tm 3.28
Sc 0.0000 0.5000 0.2345  2 Mg 3.09, 6 Sc 3.28-3.30, 2 Tm 3.28
Sc 0.5000 0.0000 0.7655  2 Mg 3.09, 2 Tm 3.28, 6 Sc 3.28-3.30
Sc 0.5000 0.5000 0.5000  8 Sc 3.28, 4 Tm 3.30
Mg 0.5000 0.5000 0.0000  8 Sc 3.09
Tm 0.0000 0.0000 0.5000  12 Sc 3.28-3.30

***

Record 9
Tm2MgSc2 | PBE-GGA | optimized geometry

## Properties
energy of formation = 0.009 eV/atom
crystal system = orthorhombic
offset from the most stable computed form = 0.00 eV/f.u.
total moment = 0.01 μB/cell

abc: 5.7150 5.3281 10.5967
angles: 59.83 105.64 90.00
With the nearest neighbours (Å) after each atom.
Sites, in units of the cell vectors:
Mg 0.8140 0.2500 0.0000  8 Tm 3.26-3.37, 2 Mg 3.41, 2 Sc 3.61
Mg 0.1860 0.7500 0.0000  8 Tm 3.26-3.37, 2 Mg 3.41, 2 Sc 3.61
Sc 0.0321 0.8355 0.4145  6 Sc 3.17-3.33, 5 Tm 3.33-3.48
Sc 0.6176 0.6645 0.5855  6 Sc 3.17-3.33, 5 Tm 3.33-3.48
Sc 0.3824 0.3355 0.4145  6 Sc 3.17-3.33, 5 Tm 3.33-3.48
Sc 0.9679 0.1645 0.5855  6 Sc 3.17-3.33, 5 Tm 3.33-3.48
Tm 0.5903 0.9509 0.7991  4 Mg 3.26-3.37, 5 Sc 3.33-3.48, 3 Tm 3.44-3.50
Tm 0.2088 0.4509 0.7991  4 Mg 3.26-3.37, 5 Sc 3.33-3.48, 3 Tm 3.44-3.50
Tm 0.4097 0.0491 0.2009  4 Mg 3.26-3.37, 5 Sc 3.33-3.48, 3 Tm 3.44-3.50
Tm 0.7912 0.5491 0.2009  4 Mg 3.26-3.37, 5 Sc 3.33-3.48, 3 Tm 3.44-3.50

***

Record 10
Tm2MgSc6 | PBE-GGA | optimized geometry

## Properties
energy of formation = 0.075 eV/atom
crystal system = hexagonal
offset from the most stable computed form = 0.00 eV/f.u.
total moment = 0.00 μB/cell

abc: 3.1827 9.0953 9.0953
angles: 59.99 90.01 90.01
With the nearest neighbours (Å) after each atom.
Sites, in units of the cell vectors:
Sc 0.4997 0.3299 0.6702  5 Sc 3.00-3.18
Sc 0.4997 0.6702 0.3299  5 Sc 3.00-3.18
Sc 0.4992 0.0000 0.3299  5 Sc 3.00-3.18
Sc 0.5011 0.6701 0.0000  5 Sc 3.00-3.18
Sc 0.4992 0.3299 0.0000  5 Sc 3.00-3.18
Sc 0.5011 0.0000 0.6701  5 Sc 3.00-3.18
Tm 0.0000 0.6666 0.6666  2 Tm 3.18, 12 Sc 3.44
Tm 0.0000 0.3334 0.3334  2 Tm 3.18, 12 Sc 3.44
Mg 0.9998 0.0000 0.0000  2 Mg 3.18, 12 Sc 3.39-3.40

***

- total moment of number 6 (Tm3Mg2Sc)?
  0.00 μB/cell